Entry from the Alexandria database: crystalline Cr3ReIr4 at its relaxed geometry (GGA-PBE).

Computed properties:
calculated formation energy = -178 meV/atom
DOS at the Fermi energy = 0.874 states/eV/atom
calculated volume = 13.60 Å³ per atom

abc: 7.995 7.995 7.995
angles: 152.49 152.49 39.29
Fractional positions:
Cr (0.000, 0.000, 0.000)
Cr (0.249, 0.249, 0.000)
Cr (0.751, 0.751, 0.000)
Re (0.500, 0.500, 0.000)
Ir (0.129, 0.629, 0.500)
Ir (0.371, 0.871, 0.500)
Ir (0.629, 0.129, 0.500)
Ir (0.871, 0.371, 0.500)